Computed, not measured: crystalline La2ScTa at its relaxed geometry at the PBE-GGA level of DFT.

Summary:
Calculated formation energy in eV per atom: 0.444
V in Å³ per cell: 107.3
Mass density in g cm⁻³: 7.80
Size of the total moment in μB/cell: 0.0
ΔE to the lowest computed polymorph in eV/atom: 0.1764
E_tot in eV/atom: -6.57

a = 10.990 Å, b = 10.990 Å, c = 10.990 Å
α = 17.71°, β = 17.71°, γ = 17.71°
Fractional coordinates of all 4 atoms:
La1 0.246 0.246 0.246
La2 0.754 0.754 0.754
Sc1 0.000 0.000 0.000
Ta1 0.500 0.500 0.500